Record 1
RhBrCl | PBE | optimized geometry

Output
SG   C2/m (12)
Polymorph energy (0 for the lowest one)   0 kJ/mol of formula units

Lattice parameters (Å, degrees): 3.600 6.806 6.853 113.24 105.23 90.00
Sites, in units of the cell vectors:
1 Br 0.628 0.303 0.257
2 Br 0.372 0.697 0.743
3 Cl 0.850 0.199 0.700
4 Cl 0.150 0.801 0.300
5 Rh 0.249 0.271 0.499
6 Rh 0.751 0.729 0.501


Record 2
AcBi2PdO6 | PBE | optimized geometry

Output
SG   P1 (1)

Lattice parameters (Å, degrees): 6.608 6.740 6.111 63.84 62.23 50.38
Each line ends with the local moment (μB).
Sites, in units of the cell vectors:
1 O 0.191 0.452 0.734  0.03
2 O 0.154 0.890 0.294  0.03
3 O 0.436 0.673 0.752  0.24
4 O 0.572 0.214 0.259  0.03
5 O 0.693 0.098 0.797  0.02
6 O 0.986 0.652 0.189  0.03
7 Pd 0.350 0.357 0.011  0.53
8 Bi 0.498 0.524 0.421  -0.01
9 Bi 0.010 0.998 0.958  0.00
10 Ac 0.772 0.804 0.600  0.02


Record 3
Ti2MnTc | PBE | optimized geometry

Output
Energy of formation   -0.351 eV/atom
SG   P4/mmm (123)
Polymorph energy (0 for the lowest one)   0 kJ/mol of formula units

Lattice parameters (Å, degrees): 3.052 3.052 6.103 90.00 90.00 90.00
Each line ends with the local moment (μB).
Sites, in units of the cell vectors:
1 Mn 0.500 0.500 0.000  1.09
2 Ti 0.000 0.000 0.756  -0.19
3 Ti 0.000 0.000 0.244  -0.19
4 Tc 0.500 0.500 0.500  0.13


Record 4
YOsCl2 | PBE | optimized geometry

Output
SG   C2/m (12)
Polymorph energy (0 for the lowest one)   0 kJ/mol of formula units

Lattice parameters (Å, degrees): 7.126 7.126 4.605 88.63 88.63 27.91
Each line ends with the local moment (μB).
Sites, in units of the cell vectors:
1 Y 0.250 0.250 0.250  -0.04
2 Cl 0.607 0.607 0.478  0.03
3 Cl 0.893 0.893 0.022  0.03
4 Os 0.750 0.750 0.750  0.59


Record 5
TmZr3In3 | PBE | optimized geometry

Output
Energy of formation   -0.259 eV/atom
SG   P6_3/m (176)

Lattice parameters (Å, degrees): 4.989 8.748 8.748 120.00 90.00 90.00
Sites, in units of the cell vectors:
1 Tm 0.750 0.333 0.667
2 Tm 0.250 0.667 0.333
3 Zr 0.750 0.778 0.992
4 Zr 0.750 0.008 0.786
5 Zr 0.250 0.222 0.008
6 Zr 0.250 0.786 0.778
7 Zr 0.750 0.214 0.222
8 Zr 0.250 0.992 0.214
9 In 0.250 0.542 0.921
10 In 0.250 0.379 0.458
11 In 0.250 0.079 0.621
12 In 0.750 0.621 0.542
13 In 0.750 0.458 0.079
14 In 0.750 0.921 0.379


Record 6
SrZn2Ge | PBE | optimized geometry

Output
Energy of formation   -0.164 eV/atom
SG   I4_1/amd (141)

Lattice parameters (Å, degrees): 4.897 4.897 9.465 75.01 75.01 90.00
Sites, in units of the cell vectors:
1 Sr 0.750 0.250 0.500
2 Sr 0.000 0.000 0.000
3 Zn 0.875 0.625 0.750
4 Zn 0.375 0.625 0.750
5 Zn 0.375 0.125 0.250
6 Zn 0.375 0.625 0.250
7 Ge 0.500 0.500 0.000
8 Ge 0.250 0.750 0.500


Record 7
Ce4HgI5 | PBE | optimized geometry

Output
SG   C2/m (12)

Lattice parameters (Å, degrees): 5.494 7.737 9.576 114.35 106.67 90.00
Each line ends with the local moment (μB).
Sites, in units of the cell vectors:
1 Ce 0.001 0.761 0.001  1.10
2 Ce 0.999 0.239 0.999  1.10
3 Ce 0.335 0.593 0.671  1.17
4 Ce 0.665 0.407 0.329  1.17
5 I 0.837 0.347 0.674  -0.01
6 I 0.168 0.175 0.336  -0.01
7 I 0.832 0.825 0.664  -0.01
8 I 0.163 0.653 0.326  -0.01
9 I 0.500 0.500 0.000  -0.01
10 Hg 0.500 0.000 0.000  0.03


Record 8
CaSb2Br | PBE | optimized geometry

Output
SG   Pmmm (47)
Polymorph energy (0 for the lowest one)   49 kJ/mol of formula units

Lattice parameters (Å, degrees): 4.251 4.263 6.555 90.00 90.00 90.00
Sites, in units of the cell vectors:
1 Sb 0.000 0.000 0.000
2 Sb 0.500 0.500 0.000
3 Br 0.500 0.000 0.500
4 Ca 0.000 0.500 0.500


Record 9
AsHRh | PBE | optimized geometry

Output
SG   P2_1/m (11)
Polymorph energy (0 for the lowest one)   0 kJ/mol of formula units

Lattice parameters (Å, degrees): 3.099 4.836 5.849 112.92 90.00 90.00
Sites, in units of the cell vectors:
1 H 0.250 0.649 0.575
2 H 0.750 0.351 0.425
3 Rh 0.750 0.626 0.743
4 Rh 0.250 0.374 0.257
5 As 0.750 0.199 0.893
6 As 0.250 0.801 0.107


Record 10
Pm6GaNi2Br3 | PBE | optimized geometry

Output
SG   C2/m (12)

Lattice parameters (Å, degrees): 4.009 9.065 9.850 107.85 101.74 90.00
Sites, in units of the cell vectors:
1 Pm 0.339 0.875 0.678
2 Pm 0.014 0.246 0.029
3 Pm 0.986 0.754 0.971
4 Pm 0.321 0.445 0.642
5 Pm 0.661 0.125 0.322
6 Pm 0.679 0.555 0.358
7 Br 0.838 0.163 0.675
8 Br 0.162 0.837 0.325
9 Br 0.500 0.500 0.000
10 Ni 0.832 0.660 0.664
11 Ni 0.168 0.340 0.336
12 Ga 0.500 0.000 0.000


Record 11
BaSi2Se | PBE | optimized geometry

Output
SG   Cm (8)
Polymorph energy (0 for the lowest one)   68 kJ/mol of formula units

Lattice parameters (Å, degrees): 5.328 5.328 5.776 70.04 70.04 43.96
Sites, in units of the cell vectors:
1 Se 0.271 0.271 0.122
2 Ba 0.482 0.482 0.514
3 Si 0.044 0.044 0.003
4 Si 0.703 0.703 0.861


Record 12
Sb2C2F | PBE | optimized geometry

Output
SG   P4/mbm (127)
Polymorph energy (0 for the lowest one)   306 kJ/mol of formula units

Lattice parameters (Å, degrees): 6.706 6.706 3.049 90.00 90.00 90.00
Sites, in units of the cell vectors:
1 Sb 0.835 0.335 0.500
2 Sb 0.665 0.835 0.500
3 Sb 0.165 0.665 0.500
4 Sb 0.335 0.165 0.500
5 C 0.639 0.139 0.000
6 C 0.861 0.639 0.000
7 C 0.361 0.861 0.000
8 C 0.139 0.361 0.000
9 F 0.500 0.500 0.000
10 F 0.000 0.000 0.000


Values of V, in order: 147.83; 181.31; 56.86; 109.44; 330.67; 211.20; 351.97; 118.77; 80.75; 332.83; 105.83; 137.13, all in Å³ per cell.
Values of total DFT energy (no corrections), in order: -22.990; -61.145; -36.729; -23.685; -80.288; -19.008; -39.986; -14.761; -31.803; -57.922; -17.403; -45.728, all in eV for the cell shown.